# ZrVO4F | Alexandria via LeMat-Bulk | GGA+U | optimized geometry
data_ZrVO4F
_chemical_formula_sum 'Zr4 V4 O16 F4'
_cell_length_a 9.151
_cell_length_b 6.884
_cell_length_c 6.604
_cell_angle_alpha 90.00
_cell_angle_beta 108.61
_cell_angle_gamma 90.00
_symmetry_space_group_name_H-M 'C 1 2/m 1'
_symmetry_Int_Tables_number 12
_symmetry_space_group_name_Hall '-C 2y'
loop_
_atom_site_label
_atom_site_type_symbol
_atom_site_fract_x
_atom_site_fract_y
_atom_site_fract_z
Zr1 Zr 0.215 0.000 0.104
V1 V 0.153 0.500 0.290
O1 O 0.043 0.500 0.767
O2 O 0.207 0.308 0.151
O3 O 0.248 0.500 0.558
F1 F 0.016 0.000 0.830
# Size of the total moment   0.00 μB/f.u.
# Energy   -8.0378 eV per atom